# PmY3Al2 (GGA-PBE, relaxed)
# **V**: 27.3 A^3/atom
# **Offset from the most stable computed form**: 252 meV/atom
# **Energy of formation**: -47 meV/atom
# **E_tot**: -63.82 eV/cell
data_PmY3Al2
_chemical_formula_sum 'Pm2 Y6 Al4'
_cell_length_a 11.0281
_cell_length_b 11.0281
_cell_length_c 11.0281
_cell_angle_alpha 31.65
_cell_angle_beta 31.65
_cell_angle_gamma 31.65
_symmetry_space_group_name_H-M 'P 1'
_symmetry_Int_Tables_number 1
loop_
_symmetry_equiv_pos_as_xyz
'x,y,z'
loop_
_atom_site_label
_atom_site_fract_x
_atom_site_fract_y
_atom_site_fract_z
Pm1 0.5000 0.5000 0.5000
Pm2 0.0000 0.0000 0.0000
Y1 0.4319 0.0681 0.7500
Y2 0.0681 0.7500 0.4319
Y3 0.7500 0.4319 0.0681
Y4 0.5681 0.9319 0.2500
Y5 0.9319 0.2500 0.5681
Y6 0.2500 0.5681 0.9319
Al1 0.3334 0.3334 0.3334
Al2 0.1666 0.1666 0.1666
Al3 0.8334 0.8334 0.8334
Al4 0.6666 0.6666 0.6666



# PmTm5Sb4 (GGA-PBE, relaxed)
# **V**: 32.1 A^3/atom
# **Formation energy (no corrections)**: -666.1 meV/atom
# **E_tot**: -50.26 eV/cell
data_PmTm5Sb4
_chemical_formula_sum 'Pm1 Tm5 Sb4'
_cell_length_a 4.3015
_cell_length_b 8.3790
_cell_length_c 9.5371
_cell_angle_alpha 106.36
_cell_angle_beta 103.03
_cell_angle_gamma 90.00
_symmetry_space_group_name_H-M 'P 1'
_symmetry_Int_Tables_number 1
loop_
_symmetry_equiv_pos_as_xyz
'x,y,z'
loop_
_atom_site_label
_atom_site_fract_x
_atom_site_fract_y
_atom_site_fract_z
Pm1 0.5000 0.0000 0.0000
Tm1 0.8186 0.6508 0.6371
Tm2 0.8403 0.1811 0.6806
Tm3 0.1597 0.8189 0.3194
Tm4 0.5000 0.5000 0.0000
Tm5 0.1814 0.3492 0.3629
Sb1 0.3269 0.9131 0.6538
Sb2 0.9880 0.7316 0.9759
Sb3 0.6731 0.0869 0.3462
Sb4 0.0120 0.2684 0.0241



# HgSb2Br (GGA-PBE, relaxed)
# **V**: 28.3 A^3/atom
# **Formation energy (no corrections)**: 60.5 meV/atom
# **Offset from the most stable computed form**: 180 meV/atom
# **E_tot**: -9.98 eV/cell
data_HgSb2Br
_chemical_formula_sum 'Hg1 Sb2 Br1'
_cell_length_a 3.6123
_cell_length_b 3.6123
_cell_length_c 9.2630
_cell_angle_alpha 90.00
_cell_angle_beta 90.00
_cell_angle_gamma 110.43
_symmetry_space_group_name_H-M 'P 1'
_symmetry_Int_Tables_number 1
loop_
_symmetry_equiv_pos_as_xyz
'x,y,z'
loop_
_atom_site_label
_atom_site_fract_x
_atom_site_fract_y
_atom_site_fract_z
Sb1 0.0000 0.0000 0.0041
Sb2 0.5000 0.5000 0.2371
Hg1 0.5000 0.5000 0.7449
Br1 0.0000 0.0000 0.5139



# Ba2AcSi3Pd12 (GGA-PBE, relaxed)
# **V**: 20.0 A^3/atom
# **Formation energy (no corrections)**: -352.2 meV/atom
# **E_tot**: -92.88 eV/cell
data_Ba2AcSi3Pd12
_chemical_formula_sum 'Ba2 Ac1 Si3 Pd12'
_cell_length_a 7.1653
_cell_length_b 7.1653
_cell_length_c 7.1653
_cell_angle_alpha 82.59
_cell_angle_beta 82.59
_cell_angle_gamma 82.59
_symmetry_space_group_name_H-M 'P 1'
_symmetry_Int_Tables_number 1
loop_
_symmetry_equiv_pos_as_xyz
'x,y,z'
loop_
_atom_site_label
_atom_site_fract_x
_atom_site_fract_y
_atom_site_fract_z
Ba1 0.6159 0.6159 0.6159
Ba2 0.3841 0.3841 0.3841
Ac1 0.0000 0.0000 0.0000
Si1 0.5000 0.0000 0.0000
Si2 0.0000 0.5000 0.0000
Si3 0.0000 0.0000 0.5000
Pd1 0.3380 0.3380 0.9333
Pd2 0.8274 0.8274 0.3402
Pd3 0.3402 0.8274 0.8274
Pd4 0.9333 0.3380 0.3380
Pd5 0.8274 0.3402 0.8274
Pd6 0.3380 0.9333 0.3380
Pd7 0.6620 0.6620 0.0667
Pd8 0.1726 0.1726 0.6598
Pd9 0.6598 0.1726 0.1726
Pd10 0.0667 0.6620 0.6620
Pd11 0.1726 0.6598 0.1726
Pd12 0.6620 0.0667 0.6620



# Mn2V5P (GGA-PBE, relaxed)
# **V**: 12.9 A^3/atom
# **Energy of formation**: -206 meV/atom
# **E_tot**: -141.99 eV/cell
data_Mn2V5P
_chemical_formula_sum 'Mn4 V10 P2'
_cell_length_a 5.7564
_cell_length_b 5.7564
_cell_length_c 7.4290
_cell_angle_alpha 112.79
_cell_angle_beta 112.79
_cell_angle_gamma 90.00
_symmetry_space_group_name_H-M 'P 1'
_symmetry_Int_Tables_number 1
loop_
_symmetry_equiv_pos_as_xyz
'x,y,z'
loop_
_atom_site_label
_atom_site_fract_x
_atom_site_fract_y
_atom_site_fract_z
Mn1 0.1341 0.3659 0.0000
Mn2 0.6341 0.1341 0.0000
Mn3 0.3659 0.8659 0.0000
Mn4 0.8659 0.6341 0.0000
V1 0.5090 0.6709 0.6799
V2 0.8291 0.9910 0.3201
V3 0.0000 0.0000 0.0000
V4 0.5000 0.5000 0.0000
V5 0.1709 0.0090 0.6799
V6 0.6709 0.1709 0.6799
V7 0.0090 0.5090 0.6799
V8 0.3291 0.8291 0.3201
V9 0.9910 0.4910 0.3201
V10 0.4910 0.3291 0.3201
P1 0.7500 0.7500 0.5000
P2 0.2500 0.2500 0.5000



# La4Tb2Y (GGA-PBE, relaxed)
# **V**: 35.4 A^3/atom
# **Offset from the most stable computed form**: 151 meV/atom
# **Energy of formation**: 220 meV/atom
# **E_tot**: -67.79 eV/cell
data_La4Tb2Y
_chemical_formula_sum 'La8 Tb4 Y2'
_cell_length_a 6.9686
_cell_length_b 9.1272
_cell_length_c 9.1272
_cell_angle_alpha 79.18
_cell_angle_beta 67.56
_cell_angle_gamma 67.56
_symmetry_space_group_name_H-M 'P 1'
_symmetry_Int_Tables_number 1
loop_
_symmetry_equiv_pos_as_xyz
'x,y,z'
loop_
_atom_site_label
_atom_site_fract_x
_atom_site_fract_y
_atom_site_fract_z
La1 0.1508 0.3504 0.3480
La2 0.1508 0.8480 0.8504
La3 0.2262 0.2421 0.7421
La4 0.7896 0.2421 0.7421
La5 0.2104 0.7579 0.2579
La6 0.8492 0.1520 0.1496
La7 0.7738 0.7579 0.2579
La8 0.8492 0.6496 0.6520
Tb1 0.2847 0.9653 0.4653
Tb2 0.5000 0.0000 0.0000
Tb3 0.5000 0.5000 0.5000
Tb4 0.7153 0.0347 0.5347
Y1 0.0000 0.5000 0.0000
Y2 0.5000 0.5000 0.0000



# RbCeNiSe3 (GGA-PBE, relaxed)
# **V**: 29.9 A^3/atom
# **Formation energy (no corrections)**: -1222.6 meV/atom
# **E_tot**: -60.94 eV/cell
data_RbCeNiSe3
_chemical_formula_sum 'Rb2 Ce2 Ni2 Se6'
_cell_length_a 4.1445
_cell_length_b 9.4691
_cell_length_c 9.7258
_cell_angle_alpha 109.73
_cell_angle_beta 90.00
_cell_angle_gamma 90.00
_symmetry_space_group_name_H-M 'P 1'
_symmetry_Int_Tables_number 1
loop_
_symmetry_equiv_pos_as_xyz
'x,y,z'
loop_
_atom_site_label
_atom_site_fract_x
_atom_site_fract_y
_atom_site_fract_z
Rb1 0.2500 0.2034 0.2395
Rb2 0.7500 0.7966 0.7605
Ce1 0.2500 0.6835 0.1614
Ce2 0.7500 0.3165 0.8386
Ni1 0.2500 0.0826 0.5864
Ni2 0.7500 0.9174 0.4136
Se1 0.7500 0.8840 0.1506
Se2 0.2500 0.1160 0.8494
Se3 0.2500 0.8190 0.4719
Se4 0.7500 0.1810 0.5281
Se5 0.7500 0.4651 0.1585
Se6 0.2500 0.5349 0.8415



# Ta2TiRhN (GGA-PBE, relaxed)
# **V**: 14.5 A^3/atom
# **Formation energy (no corrections)**: -740.1 meV/atom
# **E_tot**: -50.98 eV/cell
data_Ta2TiRhN
_chemical_formula_sum 'Ta2 Ti1 Rh1 N1'
_cell_length_a 4.2267
_cell_length_b 4.2267
_cell_length_c 4.0677
_cell_angle_alpha 90.00
_cell_angle_beta 90.00
_cell_angle_gamma 90.00
_symmetry_space_group_name_H-M 'P 1'
_symmetry_Int_Tables_number 1
loop_
_symmetry_equiv_pos_as_xyz
'x,y,z'
loop_
_atom_site_label
_atom_site_fract_x
_atom_site_fract_y
_atom_site_fract_z
N1 0.0000 0.0000 0.0000
Ti1 0.0000 0.0000 0.5000
Rh1 0.5000 0.5000 0.5000
Ta1 0.0000 0.5000 0.0000
Ta2 0.5000 0.0000 0.0000



Question: Number 7 is which compound?
Answer: RbCeNiSe3



Question: What is the formula in the fourth record?
Answer: Ba2AcSi3Pd12



Question: Among the records above, which one has the highest E_tot?
Answer: HgSb2Br



Question: Among the records above, which one has the highest V?
Answer: La4Tb2Y